Entry 1:
Density functional theory data (PBE) for SeI after structural relaxation.

It has space group I4/mmm (No. 139), with a = 4.998 Å, b = 4.998 Å, c = 5.443 Å, α = 90.00°, β = 90.00° and γ = 90.00°. Symmetry generates all atoms from Se at (0.000, 0.000, 0.000) and I at (0.000, 0.000, 0.500).



Entry 2:
Density functional theory data (PBE) for PmCuAgTe3 after structural relaxation.

It has space group P2_1/m (No. 11), with a = 8.717 Å, b = 4.254 Å, c = 9.068 Å, α = 90.00°, β = 96.09° and γ = 90.00°. Symmetry generates all atoms from Pm at (0.150, 0.250, 0.237), Cu at (0.062, 0.250, 0.571), Ag at (0.362, 0.750, 0.849), Te at (0.110, 0.250, 0.865), Te at (0.237, 0.750, 0.513) and Te at (0.406, 0.750, 0.167).



Summary of total DFT energy (no corrections) in eV for the cell shown
-8.6; -49.1
(order as listed above)
Summary of magnetization in μB/f.u.
0.00; 0.00
(order as listed above)
Summary of E_form (uncorrected) in eV per atom
0.36; -0.57
(order as listed above)